[1]
A relaxed AcTa2InO8 crystal. Source: the Alexandria database, functional PBE-GGA.

Output
**E_form (uncorrected)**: -2636.8 meV/atom
**Magnetic moment**: 0.0 μB per formula unit
**Electronic total energy**: -0.3119 hartree per atom

a b c (Å): 5.961 5.961 7.000
angles (deg): 90.00 90.00 120.00
Fractional positions:
Ac: 0.000 0.000 0.000
Ta: 0.667 0.333 0.228
Ta: 0.333 0.667 0.772
In: 0.000 0.000 0.500
O: 0.333 0.667 0.031
O: 0.313 0.157 0.294
O: 0.843 0.156 0.294
O: 0.667 0.333 0.969
O: 0.157 0.844 0.706
O: 0.687 0.843 0.706
O: 0.156 0.313 0.706
O: 0.844 0.687 0.294

[2]
A relaxed CaSiOs2 crystal. Source: the Alexandria database, functional PBE-GGA.

Output
**E_form (uncorrected)**: 200.7 meV/atom
**Magnetic moment**: 0.0 μB per formula unit
**Electronic total energy**: -0.2672 hartree per atom

a b c (Å): 5.575 5.575 5.390
angles (deg): 64.03 64.03 30.48
Fractional positions:
Ca: 0.271 0.271 0.264
Os: 0.039 0.039 0.830
Os: 0.746 0.746 0.796
Si: 0.444 0.444 0.610